A plane-wave DFT calculation with PBE-GGA was carried out for YCd2HgH after structural relaxation.

Unit cell a=4.745 b=4.745 c=4.348 alpha=90.00 beta=90.00 gamma=90.00
Positions (direct):
Y1 0.000 0.000 0.000
Cd1 0.000 0.500 0.500
Cd2 0.500 0.000 0.500
Hg1 0.500 0.500 0.000
H1 0.000 0.000 0.500

The density of states at the Fermi level is 1.452 states/eV/f.u. The value obtained for the uncorrected energy is -2.599 eV per atom. The space group is P4/mmm.